Entry 1:
First-principles (PBE) data for a geometry-optimized LaSeOF2 structure, as listed in Alexandria. Values from VASP.

The structure in Quantum ESPRESSO input format:
```
&SYSTEM
  ibrav = 0, nat = 5, ntyp = 4
/
ATOMIC_SPECIES
La 138.91 La.upf
Se 78.96 Se.upf
O 16.00 O.upf
F 19.00 F.upf
ATOMIC_POSITIONS angstrom
La 0.0000 0.0000 0.0000
Se 2.3587 2.3587 2.3447
O 0.0000 0.0000 2.3447
F 0.0000 2.3587 0.0000
F 2.3587 0.0000 0.0000
CELL_PARAMETERS angstrom
4.7174 0.0000 0.0000
0.0000 4.7174 0.0000
0.0000 0.0000 4.6894
```

Results
Uncorrected formation energy   -2.13 eV/atom
Theoretical density   4.33 Mg/m³
Offset from the most stable computed form   0.0 meV/atom

Entry 2:
First-principles (PBE) data for a geometry-optimized CrGePb3 structure, as listed in Alexandria. Values from VASP.

The structure in Quantum ESPRESSO input format:
```
&SYSTEM
  ibrav = 0, nat = 5, ntyp = 3
/
ATOMIC_SPECIES
Cr 52.00 Cr.upf
Ge 72.64 Ge.upf
Pb 207.20 Pb.upf
ATOMIC_POSITIONS angstrom
Cr 0.0000 0.0000 0.0000
Ge 2.7574 2.7574 2.7574
Pb 0.0000 2.7574 2.7574
Pb 2.7574 0.0000 2.7574
Pb 2.7574 2.7574 0.0000
CELL_PARAMETERS angstrom
5.5148 0.0000 0.0000
0.0000 5.5148 0.0000
0.0000 0.0000 5.5148
```

Results
Theoretical density   7.39 Mg/m³
Offset from the most stable computed form   284.9 meV/atom

Entry 3:
First-principles (PBE) data for a geometry-optimized Tm2Hg3Pb structure, as listed in Alexandria. Values from VASP.

The structure in Quantum ESPRESSO input format:
```
&SYSTEM
  ibrav = 0, nat = 12, ntyp = 3
/
ATOMIC_SPECIES
Tm 168.93 Tm.upf
Hg 200.59 Hg.upf
Pb 207.20 Pb.upf
ATOMIC_POSITIONS angstrom
Tm 2.3123 0.0000 0.0000
Tm 2.3123 0.0000 3.3361
Tm 7.6379 0.0000 0.0000
Tm 7.6379 0.0000 3.3361
Hg 3.4222 2.5521 1.6681
Hg 6.5280 2.5521 1.6681
Hg 4.9751 0.0192 5.0042
Hg 4.9751 -0.0192 1.6681
Hg 3.4222 -2.5521 5.0042
Hg 6.5280 -2.5521 5.0042
Pb 4.9751 3.0267 5.0042
Pb 4.9751 -3.0267 1.6681
CELL_PARAMETERS angstrom
4.9751 -4.9790 0.0000
4.9751 4.9790 0.0000
0.0000 0.0000 6.6722
```

Results
Theoretical density   11.52 Mg/m³
Offset from the most stable computed form   156.6 meV/atom

Entry 4:
First-principles (PBE) data for a geometry-optimized CaPrRu structure, as listed in Alexandria. Values from VASP.

The structure in Quantum ESPRESSO input format:
```
&SYSTEM
  ibrav = 0, nat = 3, ntyp = 3
/
ATOMIC_SPECIES
Ca 40.08 Ca.upf
Pr 140.91 Pr.upf
Ru 101.07 Ru.upf
ATOMIC_POSITIONS angstrom
Ca 0.0000 0.0000 0.0000
Pr 0.0000 0.0000 3.3343
Ru 0.0000 0.0000 8.4624
CELL_PARAMETERS angstrom
-1.7690 1.7690 6.6754
1.7690 -1.7690 6.6754
1.7690 1.7690 -6.6754
```

Results
Theoretical density   5.61 Mg/m³
Offset from the most stable computed form   0.0 meV/atom